No. 1
Computed, not measured: a geometry-optimized ReSe structure at the PBE-GGA level of DFT.

```
ReSe
1.0
-2.851 -1.132 0.332
1.349 -3.911 -1.747
1.201 -1.662 4.647
Re Se
2 2
Direct
0.000 0.000 0.984
0.500 0.500 0.849
0.500 0.000 0.597
0.000 0.500 0.236
```

Computed properties:
The value obtained for the formation energy from raw total energies is 288.9 meV per atom. Its space group is Pmmn. As for the crystal system: orthorhombic.

No. 2
Computed, not measured: a geometry-optimized Re4Se structure at the PBE-GGA level of DFT.

```
Re4Se
1.0
-1.813 3.865 1.327
-1.341 -1.934 3.801
3.860 1.144 1.943
Re Se
4 1
Direct
0.000 0.000 0.000
0.500 0.000 0.500
0.000 0.500 0.500
0.500 0.500 0.000
0.500 0.500 0.500
```

Computed properties:
The value obtained for the formation energy from raw total energies is 2018.5 meV per atom. Its space group is Pm-3m. As for the crystal system: cubic.

No. 3
Computed, not measured: a geometry-optimized ReSe structure at the PBE-GGA level of DFT.

```
ReSe
1.0
5.754 0.000 0.002
0.000 2.990 0.000
-4.567 0.000 18.343
Re Se
8 8
Direct
0.912 0.000 0.798
0.088 0.000 0.202
0.912 0.500 0.298
0.088 0.500 0.702
0.585 0.000 0.203
0.415 0.000 0.797
0.585 0.500 0.703
0.415 0.500 0.297
0.747 0.000 0.090
0.253 0.000 0.910
0.747 0.500 0.590
0.253 0.500 0.410
0.732 0.000 0.383
0.268 0.000 0.617
0.732 0.500 0.883
0.268 0.500 0.117
```

Computed properties:
The value obtained for the formation energy from raw total energies is -128.0 meV per atom. Its space group is C2/m. As for the crystal system: monoclinic.

No. 4
Computed, not measured: a geometry-optimized ReSe structure at the PBE-GGA level of DFT.

```
ReSe
1.0
7.145 0.000 0.000
0.000 6.103 0.000
0.000 0.000 7.264
Re Se
8 8
Direct
0.687 0.204 0.951
0.187 0.296 0.049
0.313 0.704 0.549
0.813 0.796 0.451
0.369 0.003 0.849
0.869 0.497 0.151
0.631 0.503 0.651
0.131 0.997 0.349
0.442 0.067 0.176
0.942 0.433 0.824
0.558 0.567 0.324
0.058 0.933 0.676
0.383 0.590 0.878
0.883 0.910 0.122
0.617 0.090 0.622
0.117 0.410 0.378
```

Computed properties:
The value obtained for the formation energy from raw total energies is 507.0 meV per atom. Its space group is P2_12_12_1. As for the crystal system: orthorhombic.